Material: Ac2Al3Pd12Pt
Method: DFT, PBE
State: optimized geometry Values from VASP.

Values from the calculation:
VASP energy ... -5.18 eV/atom
Density ... 8.9 Mg/m³

Cell and atoms, written as Quantum ESPRESSO input:
```
&SYSTEM
  ibrav = 0, nat = 18, ntyp = 4
/
ATOMIC_SPECIES
Ac 227.00 Ac.upf
Al 26.98 Al.upf
Pd 106.42 Pd.upf
Pt 195.08 Pt.upf
CELL_PARAMETERS angstrom
4.200 2.425 6.154
-4.200 2.425 6.154
0.000 -4.850 6.154
ATOMIC_POSITIONS crystal
Ac 0.115 0.115 0.115
Ac 0.885 0.885 0.885
Al 0.000 0.500 0.500
Al 0.500 0.000 0.500
Al 0.500 0.500 0.000
Pd 0.119 0.635 0.635
Pd 0.138 0.138 0.605
Pd 0.138 0.605 0.138
Pd 0.365 0.365 0.881
Pd 0.365 0.881 0.365
Pd 0.395 0.862 0.862
Pd 0.605 0.138 0.138
Pd 0.635 0.119 0.635
Pd 0.635 0.635 0.119
Pd 0.862 0.395 0.862
Pd 0.862 0.862 0.395
Pd 0.881 0.365 0.365
Pt 0.500 0.500 0.500
```